Entry 1:
Below is a relaxed Tl2Ga2Pd crystal, with properties calculated at the PBE level.

Cell and atoms, written as POSCAR:
```
Tl2Ga2Pd
1.0
6.622 0.000 0.000
0.000 6.622 0.000
0.000 0.000 5.267
Ga Tl Pd
4 4 2
direct
0.643 0.143 0.000
0.857 0.643 0.000
0.143 0.357 0.000
0.357 0.857 0.000
0.312 0.188 0.500
0.688 0.812 0.500
0.812 0.312 0.500
0.188 0.688 0.500
0.000 0.000 0.000
0.500 0.500 0.000
```

## Properties
VASP energy   -3.280 eV/atom
Space group   P4/mbm (127)
N(E_F)   0.362 states/eV/atom
Mass density   9.41 g/cm³

---

Entry 2:
Below is a relaxed Tl2Ga2Pd7 crystal, with properties calculated at the PBE level.

Cell and atoms, written as POSCAR:
```
Tl2Ga2Pd7
1.0
6.030 -0.006 -0.237
0.000 5.794 0.005
-0.612 0.001 6.003
Ga Pd Tl
2 7 2
direct
0.279 0.000 0.721
0.721 0.000 0.279
0.000 0.000 0.000
0.500 0.743 0.500
0.500 0.251 0.000
0.500 0.257 0.500
0.000 0.749 0.500
0.500 0.749 0.000
0.000 0.251 0.500
0.811 0.500 0.811
0.189 0.500 0.189
```

## Properties
VASP energy   -4.499 eV/atom
Space group   C2/m (12)
N(E_F)   0.374 states/eV/atom
Mass density   10.28 g/cm³

---

Entry 3:
Below is a relaxed TlGa2Pd2 crystal, with properties calculated at the PBE level.

Cell and atoms, written as POSCAR:
```
TlGa2Pd2
1.0
4.323 0.000 0.000
0.000 4.323 0.000
2.162 2.162 5.249
Pd Ga Tl
2 2 1
direct
0.250 0.750 0.500
0.750 0.250 0.500
0.377 0.377 0.245
0.623 0.623 0.755
0.000 0.000 0.000
```

## Properties
VASP energy   -4.057 eV/atom
Space group   I4/mmm (139)
N(E_F)   0.425 states/eV/atom
Mass density   9.42 g/cm³

---

Entry 4:
Below is a relaxed Tl3GaPd12 crystal, with properties calculated at the PBE level.

Cell and atoms, written as POSCAR:
```
Tl3GaPd12
1.0
-2.470 1.786 -2.695
2.368 -1.310 -3.039
-8.644 -13.402 -0.958
Pd Tl Ga
12 3 1
direct
0.500 0.000 0.372
0.500 0.500 0.758
0.500 0.000 0.886
0.500 0.500 0.242
0.000 0.500 0.628
0.000 0.500 0.114
0.500 0.000 0.114
0.000 0.500 0.372
0.500 0.500 0.000
0.500 0.000 0.628
0.000 0.500 0.886
0.500 0.500 0.500
0.000 0.000 0.500
0.000 0.000 0.756
0.000 0.000 0.244
0.000 0.000 0.000
```

## Properties
VASP energy   -4.775 eV/atom
Space group   P4/mmm (123)
N(E_F)   1.106 states/eV/atom
Mass density   12.30 g/cm³

---

Entry 5:
Below is a relaxed TlGa2Pd2 crystal, with properties calculated at the PBE level.

Cell and atoms, written as POSCAR:
```
TlGa2Pd2
1.0
-5.737 0.228 -5.179
-4.500 -4.055 4.806
-0.994 2.541 1.213
Pd Tl Ga
4 2 4
direct
0.642 0.142 0.000
0.358 0.858 0.000
0.858 0.642 0.000
0.142 0.358 0.000
0.000 0.000 0.000
0.500 0.500 0.000
0.150 0.650 0.500
0.850 0.350 0.500
0.350 0.150 0.500
0.650 0.850 0.500
```

## Properties
VASP energy   -4.101 eV/atom
Space group   P4/mbm (127)
N(E_F)   0.308 states/eV/atom
Mass density   10.36 g/cm³

---

Entry 6:
Below is a relaxed TlGaPd2 crystal, with properties calculated at the PBE level.

Cell and atoms, written as POSCAR:
```
TlGaPd2
1.0
4.125 0.000 0.000
2.062 3.572 0.000
2.062 1.191 5.205
Tl Ga Pd
1 1 2
direct
0.494 0.494 0.519
0.674 0.674 0.978
0.273 0.273 0.180
0.059 0.059 0.822
```

## Properties
VASP energy   -4.247 eV/atom
Space group   R3m (160)
N(E_F)   0.363 states/eV/atom
Mass density   10.54 g/cm³

---

Entry 7:
Below is a relaxed Tl2Ga2Pd crystal, with properties calculated at the PBE level.

Cell and atoms, written as POSCAR:
```
Tl2Ga2Pd
1.0
7.353 0.000 0.000
0.000 7.353 0.000
0.000 0.000 4.394
Ga Tl Pd
4 4 2
direct
0.850 0.350 0.500
0.650 0.850 0.500
0.350 0.150 0.500
0.150 0.650 0.500
0.842 0.658 0.000
0.658 0.158 0.000
0.158 0.342 0.000
0.342 0.842 0.000
0.000 0.000 0.000
0.500 0.500 0.000
```

## Properties
VASP energy   -3.026 eV/atom
Space group   P4/mbm (127)
N(E_F)   0.329 states/eV/atom
Mass density   9.15 g/cm³

---

Entry 8:
Below is a relaxed Tl2GaPd crystal, with properties calculated at the PBE level.

Cell and atoms, written as POSCAR:
```
Tl2GaPd
1.0
-1.991 1.095 -9.179
7.703 -4.994 -2.267
1.526 -4.019 -5.681
Ga Tl Pd
2 4 2
direct
0.500 0.500 0.000
0.250 0.750 0.500
0.017 0.625 0.250
0.733 0.125 0.250
0.875 0.983 0.750
0.375 0.267 0.750
0.750 0.250 0.500
0.000 0.000 0.000
```

## Properties
VASP energy   -3.250 eV/atom
Space group   I-42d (122)
N(E_F)   0.532 states/eV/atom
Mass density   8.83 g/cm³

---

Entry 9:
Below is a relaxed Tl2GaPd2 crystal, with properties calculated at the PBE level.

Cell and atoms, written as POSCAR:
```
Tl2GaPd2
1.0
6.848 0.000 0.000
0.000 6.848 0.000
0.000 0.000 4.391
Tl Pd Ga
4 4 2
direct
0.839 0.339 0.500
0.339 0.161 0.500
0.161 0.661 0.500
0.661 0.839 0.500
0.348 0.848 0.000
0.152 0.348 0.000
0.848 0.652 0.000
0.652 0.152 0.000
0.500 0.500 0.000
0.000 0.000 0.000
```

## Properties
VASP energy   -3.778 eV/atom
Space group   P4/mbm (127)
N(E_F)   0.447 states/eV/atom
Mass density   11.15 g/cm³

---

Entry 10:
Below is a relaxed TlGa2Pd7 crystal, with properties calculated at the PBE level.

Cell and atoms, written as POSCAR:
```
TlGa2Pd7
1.0
-4.021 0.318 -0.926
-0.350 -4.123 0.101
0.005 2.323 10.024
Pd Ga Tl
7 2 1
direct
0.500 0.500 0.000
0.602 0.102 0.203
0.250 0.750 0.500
0.102 0.602 0.203
0.750 0.250 0.500
0.398 0.898 0.797
0.898 0.398 0.797
0.675 0.675 0.351
0.325 0.325 0.649
0.000 0.000 0.000
```

## Properties
VASP energy   -4.874 eV/atom
Space group   I4/mmm (139)
N(E_F)   0.233 states/eV/atom
Mass density   10.70 g/cm³

---

Entry 11:
Below is a relaxed TlGaPd3 crystal, with properties calculated at the PBE level.

Cell and atoms, written as POSCAR:
```
TlGaPd3
1.0
-1.807 0.118 4.315
4.198 -1.039 1.787
1.003 4.561 0.295
Pd Ga Tl
3 1 1
direct
0.000 0.000 0.500
0.500 0.000 0.000
0.000 0.500 0.000
0.000 0.000 0.000
0.500 0.500 0.500
```

## Properties
VASP energy   -4.112 eV/atom
Space group   Pm-3m (221)
N(E_F)   0.678 states/eV/atom
Mass density   9.61 g/cm³

---

Entry 12:
Below is a relaxed TlGaPd2 crystal, with properties calculated at the PBE level.

Cell and atoms, written as POSCAR:
```
TlGaPd2
1.0
-0.822 -2.890 0.950
1.026 -1.190 -2.732
6.411 -0.903 2.800
Pd Tl Ga
2 1 1
direct
0.000 0.000 0.795
0.000 0.000 0.205
0.500 0.500 0.500
0.500 0.500 0.000
```

## Properties
VASP energy   -4.302 eV/atom
Space group   P4/mmm (123)
N(E_F)   0.518 states/eV/atom
Mass density   11.54 g/cm³

---

Entry 13:
Below is a relaxed TlGa3Pd3 crystal, with properties calculated at the PBE level.

Cell and atoms, written as POSCAR:
```
TlGa3Pd3
1.0
-2.050 -1.611 -6.411
-3.547 -5.396 2.490
-5.579 4.023 0.773
Ga Pd Tl
6 6 2
direct
0.000 0.250 0.500
0.500 0.000 0.250
0.750 0.500 0.000
0.500 0.000 0.750
0.250 0.500 0.000
0.000 0.750 0.500
0.500 0.750 0.000
0.000 0.500 0.250
0.000 0.500 0.750
0.500 0.250 0.000
0.750 0.000 0.500
0.250 0.000 0.500
0.000 0.000 0.000
0.500 0.500 0.500
```

## Properties
VASP energy   -3.971 eV/atom
Space group   Pm-3n (223)
N(E_F)   0.394 states/eV/atom
Mass density   7.34 g/cm³

---

Entry 14:
Below is a relaxed TlGaPd5 crystal, with properties calculated at the PBE level.

Cell and atoms, written as POSCAR:
```
TlGaPd5
1.0
2.016 -7.023 1.265
4.657 -5.175 -2.555
8.970 -5.411 3.584
Tl Pd Ga
2 10 2
direct
0.000 0.000 0.500
0.000 0.000 0.000
0.345 0.313 0.603
0.770 0.723 0.580
0.655 0.687 0.397
0.723 0.770 0.080
0.313 0.345 0.103
0.221 0.779 0.750
0.277 0.230 0.920
0.230 0.277 0.420
0.779 0.221 0.250
0.687 0.655 0.897
0.722 0.278 0.750
0.278 0.722 0.250
```

## Properties
VASP energy   -4.681 eV/atom
Space group   C2/c (15)
N(E_F)   0.554 states/eV/atom
Mass density   11.17 g/cm³

---

Entry 15:
Below is a relaxed Tl2GaPd8 crystal, with properties calculated at the PBE level.

Cell and atoms, written as POSCAR:
```
Tl2GaPd8
1.0
-1.086 0.186 -4.463
-3.125 -5.140 0.546
-3.470 6.026 3.463
Pd Tl Ga
8 2 1
direct
0.641 0.399 0.282
0.359 0.116 0.718
0.175 0.175 0.350
0.000 0.248 0.000
0.000 0.752 0.000
0.641 0.884 0.282
0.825 0.825 0.650
0.359 0.601 0.718
0.181 0.681 0.362
0.819 0.319 0.638
0.500 0.000 0.000
```

## Properties
VASP energy   -4.732 eV/atom
Space group   Immm (71)
N(E_F)   0.350 states/eV/atom
Mass density   11.73 g/cm³

---

Entry 16:
Below is a relaxed Tl3GaPd crystal, with properties calculated at the PBE level.

Cell and atoms, written as POSCAR:
```
Tl3GaPd
1.0
-3.318 4.199 0.217
-4.109 -3.180 -1.302
-0.892 -0.973 5.191
Tl Pd Ga
3 1 1
direct
0.000 0.500 0.000
0.000 0.000 0.500
0.500 0.000 0.000
0.500 0.500 0.500
0.000 0.000 0.000
```

## Properties
VASP energy   -2.540 eV/atom
Space group   Pm-3m (221)
N(E_F)   0.582 states/eV/atom
Mass density   8.53 g/cm³

---

Entry 17:
Below is a relaxed Tl2GaPd crystal, with properties calculated at the PBE level.

Cell and atoms, written as POSCAR:
```
Tl2GaPd
1.0
-2.887 0.890 -1.148
-2.427 -2.132 -0.099
-4.747 2.519 9.347
Tl Ga Pd
2 1 1
direct
0.085 0.085 0.746
0.915 0.915 0.254
0.500 0.500 0.500
0.000 0.000 0.000
```

## Properties
VASP energy   -3.001 eV/atom
Space group   R-3m (166)
N(E_F)   0.584 states/eV/atom
Mass density   10.11 g/cm³

---

Entry 18:
Below is a relaxed TlGa2Pd7 crystal, with properties calculated at the PBE level.

Cell and atoms, written as POSCAR:
```
TlGa2Pd7
1.0
-2.990 -2.812 1.748
3.292 -5.465 -3.159
2.112 1.826 6.549
Ga Pd Tl
2 7 1
direct
0.500 0.699 0.301
0.500 0.301 0.699
0.500 0.068 0.308
0.000 0.223 0.777
0.500 0.932 0.692
0.000 0.777 0.223
0.500 0.308 0.068
0.500 0.692 0.932
0.500 0.500 0.500
0.000 0.000 0.000
```

## Properties
VASP energy   -4.534 eV/atom
Space group   Cmmm (65)
N(E_F)   0.452 states/eV/atom
Mass density   9.05 g/cm³

---

Entry 19:
Below is a relaxed TlV2GaPd crystal, with properties calculated at the PBE level.

Cell and atoms, written as POSCAR:
```
TlV2GaPd
1.0
-2.231 2.168 3.811
-2.932 -3.652 0.361
3.130 -2.207 3.088
V Tl Ga Pd
2 1 1 1
direct
0.500 0.000 0.000
0.000 0.000 0.500
0.500 0.500 0.500
0.000 0.500 0.000
0.000 0.000 0.000
```

## Properties
VASP energy   -5.039 eV/atom
Space group   P4/mmm (123)
N(E_F)   1.331 states/eV/atom
Mass density   7.05 g/cm³

---

Entry 20:
Below is a relaxed TlZnGa2Pd crystal, with properties calculated at the PBE level.

Cell and atoms, written as POSCAR:
```
TlZnGa2Pd
1.0
-3.876 2.498 1.503
-2.520 -1.613 -3.817
-1.493 -3.901 2.634
Zn Tl Ga Pd
1 1 2 1
direct
0.000 0.000 0.500
0.500 0.500 0.500
0.000 0.500 0.000
0.500 0.000 0.000
0.000 0.000 0.000
```

## Properties
VASP energy   -3.065 eV/atom
Space group   P4/mmm (123)
N(E_F)   0.338 states/eV/atom
Mass density   7.37 g/cm³